Entry from Alexandria via LeMat-Bulk: an optimized crystal structure of BeAlNi (PBE).

The offset from the most stable computed form comes out at 58 meV/atom. The calculation puts the density of states at the Fermi level at 0.403 states/eV per atom. The energy is -4.812 eV/atom.

It has space group I4mm (No. 107), with a = 2.868 Å, b = 2.868 Å, c = 7.943 Å, α = 90.00°, β = 90.00° and γ = 90.00°. The asymmetric unit holds Be at (0.000, 0.000, 0.000), Al at (0.000, 0.000, 0.314) and Ni at (0.000, 0.000, 0.633).



Entry from Alexandria via LeMat-Bulk: an optimized crystal structure of Be2AlNi (PBE).

The calculation puts the density of states at the Fermi level at 0.184 states/eV per atom. The energy is -4.493 eV/atom.

It has space group Cm (No. 8), with a = 8.258 Å, b = 2.976 Å, c = 3.720 Å, α = 90.00°, β = 116.60° and γ = 90.00°. The asymmetric unit holds Be at (0.000, 0.000, 0.000), Be at (0.235, 0.500, 0.235), Al at (0.499, 0.000, 0.499) and Ni at (0.261, 0.000, 0.761).